# Al2Ni2Pd | OQMD | GGA-PBE | relaxed
# Energy = -5.105 eV/atom
# Theoretical density = 6.70 Mg/m³
# Symmetry = No. 139
# Total magnetic moment = 0.0 μB per cell
data_Al2Ni2Pd
_cell_length_a 6.239
_cell_length_b 6.239
_cell_length_c 6.239
_cell_angle_alpha 147.76
_cell_angle_beta 147.76
_cell_angle_gamma 46.24
_symmetry_space_group_name_H-M 'P 1'
_symmetry_Int_Tables_number 1
loop_
_symmetry_equiv_pos_as_xyz
'x,y,z'
loop_
_atom_site_label
_atom_site_type_symbol
_atom_site_fract_x
_atom_site_fract_y
_atom_site_fract_z
Al1 Al 0.610 0.610 0.000
Ni1 Ni 0.250 0.750 0.500
Pd1 Pd 0.000 0.000 0.000
Ni2 Ni 0.750 0.250 0.500
Al2 Al 0.390 0.390 0.000